A geometry-optimized Y3AlC structure, computed with PBE.

Structure (CIF):
```
data_Y3AlC
_cell_length_a 4.896
_cell_length_b 4.896
_cell_length_c 4.896
_cell_angle_alpha 90.00
_cell_angle_beta 90.00
_cell_angle_gamma 90.00
_symmetry_space_group_name_H-M 'P 1'
_symmetry_Int_Tables_number 1
loop_
_symmetry_equiv_pos_as_xyz
'x,y,z'
loop_
_atom_site_label
_atom_site_type_symbol
_atom_site_fract_x
_atom_site_fract_y
_atom_site_fract_z
Y1 Y 0.000 0.000 0.500
Y2 Y 0.000 0.500 0.000
Y3 Y 0.500 0.000 0.000
Al1 Al 0.500 0.500 0.500
C1 C 0.000 0.000 0.000
```

Properties
E = -34.47 eV/cell
Space-group type = Pm-3m

A geometry-optimized Y2AlC structure, computed with PBE.

Structure (CIF):
```
data_Y2AlC
_cell_length_a 6.850
_cell_length_b 6.850
_cell_length_c 6.850
_cell_angle_alpha 90.00
_cell_angle_beta 90.00
_cell_angle_gamma 90.00
_symmetry_space_group_name_H-M 'P 1'
_symmetry_Int_Tables_number 1
loop_
_symmetry_equiv_pos_as_xyz
'x,y,z'
loop_
_atom_site_label
_atom_site_type_symbol
_atom_site_fract_x
_atom_site_fract_y
_atom_site_fract_z
Y1 Y 0.250 0.250 0.250
Y2 Y 0.250 0.250 0.750
Y3 Y 0.250 0.750 0.250
Y4 Y 0.250 0.750 0.750
Y5 Y 0.750 0.250 0.250
Y6 Y 0.750 0.250 0.750
Y7 Y 0.750 0.750 0.250
Y8 Y 0.750 0.750 0.750
Al1 Al 0.000 0.000 0.000
Al2 Al 0.000 0.500 0.500
Al3 Al 0.500 0.000 0.500
Al4 Al 0.500 0.500 0.000
C1 C 0.000 0.000 0.500
C2 C 0.000 0.500 0.000
C3 C 0.500 0.000 0.000
C4 C 0.500 0.500 0.500
```

Properties
E = -94.87 eV/cell
Space-group type = Fm-3m

A geometry-optimized Y2AlC2 structure, computed with PBE.

Structure (CIF):
```
data_Y2AlC2
_cell_length_a 6.177
_cell_length_b 6.177
_cell_length_c 6.884
_cell_angle_alpha 117.15
_cell_angle_beta 117.15
_cell_angle_gamma 48.77
_symmetry_space_group_name_H-M 'P 1'
_symmetry_Int_Tables_number 1
loop_
_symmetry_equiv_pos_as_xyz
'x,y,z'
loop_
_atom_site_label
_atom_site_type_symbol
_atom_site_fract_x
_atom_site_fract_y
_atom_site_fract_z
Y1 Y 0.035 0.035 0.268
Y2 Y 0.328 0.328 0.911
Y3 Y 0.672 0.672 0.089
Y4 Y 0.965 0.965 0.732
Al1 Al 0.367 0.367 0.371
Al2 Al 0.633 0.633 0.629
C1 C 0.177 0.177 0.102
C2 C 0.476 0.476 0.711
C3 C 0.524 0.524 0.289
C4 C 0.823 0.823 0.898
```

Properties
E = -73.15 eV/cell
Space-group type = C2/m

A geometry-optimized Y2AlC2 structure, computed with PBE.

Structure (CIF):
```
data_Y2AlC2
_cell_length_a 4.182
_cell_length_b 4.182
_cell_length_c 5.041
_cell_angle_alpha 90.00
_cell_angle_beta 90.00
_cell_angle_gamma 90.00
_symmetry_space_group_name_H-M 'P 1'
_symmetry_Int_Tables_number 1
loop_
_symmetry_equiv_pos_as_xyz
'x,y,z'
loop_
_atom_site_label
_atom_site_type_symbol
_atom_site_fract_x
_atom_site_fract_y
_atom_site_fract_z
Y1 Y 0.000 0.000 0.000
Y2 Y 0.500 0.500 0.000
Al1 Al 0.000 0.000 0.500
C1 C 0.000 0.500 0.500
C2 C 0.500 0.000 0.500
```

Properties
E = -27.19 eV/cell
Space-group type = P4/mmm

A geometry-optimized YAlC structure, computed with PBE.

Structure (CIF):
```
data_YAlC
_cell_length_a 8.537
_cell_length_b 4.791
_cell_length_c 5.178
_cell_angle_alpha 90.00
_cell_angle_beta 90.00
_cell_angle_gamma 90.00
_symmetry_space_group_name_H-M 'P 1'
_symmetry_Int_Tables_number 1
loop_
_symmetry_equiv_pos_as_xyz
'x,y,z'
loop_
_atom_site_label
_atom_site_type_symbol
_atom_site_fract_x
_atom_site_fract_y
_atom_site_fract_z
Y1 Y 0.153 0.250 0.016
Y2 Y 0.347 0.750 0.516
Y3 Y 0.653 0.250 0.484
Y4 Y 0.847 0.750 0.984
Al1 Al 0.000 0.000 0.500
Al2 Al 0.000 0.500 0.500
Al3 Al 0.500 0.000 0.000
Al4 Al 0.500 0.500 0.000
C1 C 0.103 0.750 0.224
C2 C 0.397 0.250 0.724
C3 C 0.603 0.750 0.276
C4 C 0.897 0.250 0.776
```

Properties
E = -77.26 eV/cell
Space-group type = Pnma

A geometry-optimized Y5Al3C4 structure, computed with PBE.

Structure (CIF):
```
data_Y5Al3C4
_cell_length_a 10.935
_cell_length_b 10.935
_cell_length_c 3.521
_cell_angle_alpha 90.00
_cell_angle_beta 90.00
_cell_angle_gamma 90.00
_symmetry_space_group_name_H-M 'P 1'
_symmetry_Int_Tables_number 1
loop_
_symmetry_equiv_pos_as_xyz
'x,y,z'
loop_
_atom_site_label
_atom_site_type_symbol
_atom_site_fract_x
_atom_site_fract_y
_atom_site_fract_z
Y1 Y 0.000 0.500 0.000
Y2 Y 0.050 0.230 0.500
Y3 Y 0.230 0.950 0.500
Y4 Y 0.270 0.450 0.500
Y5 Y 0.450 0.730 0.500
Y6 Y 0.500 0.000 0.000
Y7 Y 0.550 0.270 0.500
Y8 Y 0.730 0.550 0.500
Y9 Y 0.770 0.050 0.500
Y10 Y 0.950 0.770 0.500
Al1 Al 0.000 0.000 0.000
Al2 Al 0.204 0.704 0.000
Al3 Al 0.296 0.204 0.000
Al4 Al 0.500 0.500 0.000
Al5 Al 0.704 0.796 0.000
Al6 Al 0.796 0.296 0.000
C1 C 0.133 0.633 0.500
C2 C 0.162 0.338 0.000
C3 C 0.338 0.838 0.000
C4 C 0.367 0.133 0.500
C5 C 0.633 0.867 0.500
C6 C 0.662 0.162 0.000
C7 C 0.838 0.662 0.000
C8 C 0.867 0.367 0.500
```

Properties
E = -170.50 eV/cell
Space-group type = P4/mbm

A geometry-optimized YAlC3 structure, computed with PBE.

Structure (CIF):
```
data_YAlC3
_cell_length_a 3.949
_cell_length_b 3.949
_cell_length_c 3.949
_cell_angle_alpha 90.00
_cell_angle_beta 90.00
_cell_angle_gamma 90.00
_symmetry_space_group_name_H-M 'P 1'
_symmetry_Int_Tables_number 1
loop_
_symmetry_equiv_pos_as_xyz
'x,y,z'
loop_
_atom_site_label
_atom_site_type_symbol
_atom_site_fract_x
_atom_site_fract_y
_atom_site_fract_z
Y1 Y 0.000 0.000 0.000
Al1 Al 0.500 0.500 0.500
C1 C 0.000 0.500 0.500
C2 C 0.500 0.000 0.500
C3 C 0.500 0.500 0.000
```

Properties
E = -32.15 eV/cell
Space-group type = Pm-3m

A geometry-optimized Y4AlC2 structure, computed with PBE.

Structure (CIF):
```
data_Y4AlC2
_cell_length_a 5.474
_cell_length_b 5.474
_cell_length_c 11.850
_cell_angle_alpha 90.00
_cell_angle_beta 90.00
_cell_angle_gamma 90.00
_symmetry_space_group_name_H-M 'P 1'
_symmetry_Int_Tables_number 1
loop_
_symmetry_equiv_pos_as_xyz
'x,y,z'
loop_
_atom_site_label
_atom_site_type_symbol
_atom_site_fract_x
_atom_site_fract_y
_atom_site_fract_z
Y1 Y 0.000 0.000 0.249
Y2 Y 0.000 0.000 0.751
Y3 Y 0.000 0.500 0.000
Y4 Y 0.000 0.500 0.500
Y5 Y 0.500 0.000 0.000
Y6 Y 0.500 0.000 0.500
Y7 Y 0.500 0.500 0.251
Y8 Y 0.500 0.500 0.749
Al1 Al 0.000 0.000 0.500
Al2 Al 0.500 0.500 0.000
C1 C 0.000 0.000 0.056
C2 C 0.000 0.000 0.944
C3 C 0.500 0.500 0.444
C4 C 0.500 0.500 0.556
```

Properties
E = -95.51 eV/cell
Space-group type = I4/mmm

A geometry-optimized Y2AlC structure, computed with PBE.

Structure (CIF):
```
data_Y2AlC
_cell_length_a 7.122
_cell_length_b 7.122
_cell_length_c 7.188
_cell_angle_alpha 90.00
_cell_angle_beta 90.00
_cell_angle_gamma 90.00
_symmetry_space_group_name_H-M 'P 1'
_symmetry_Int_Tables_number 1
loop_
_symmetry_equiv_pos_as_xyz
'x,y,z'
loop_
_atom_site_label
_atom_site_type_symbol
_atom_site_fract_x
_atom_site_fract_y
_atom_site_fract_z
Y1 Y 0.173 0.250 0.125
Y2 Y 0.250 0.673 0.375
Y3 Y 0.250 0.827 0.875
Y4 Y 0.327 0.250 0.625
Y5 Y 0.673 0.750 0.625
Y6 Y 0.750 0.173 0.875
Y7 Y 0.750 0.327 0.375
Y8 Y 0.827 0.750 0.125
Al1 Al 0.000 0.000 0.500
Al2 Al 0.000 0.500 0.750
Al3 Al 0.500 0.000 0.250
Al4 Al 0.500 0.500 0.000
C1 C 0.000 0.000 0.000
C2 C 0.000 0.500 0.250
C3 C 0.500 0.000 0.750
C4 C 0.500 0.500 0.500
```

Properties
E = -102.70 eV/cell
Space-group type = I-42d

A geometry-optimized Y4AlC structure, computed with PBE.

Structure (CIF):
```
data_Y4AlC
_cell_length_a 8.214
_cell_length_b 8.214
_cell_length_c 6.197
_cell_angle_alpha 105.41
_cell_angle_beta 105.41
_cell_angle_gamma 118.88
_symmetry_space_group_name_H-M 'P 1'
_symmetry_Int_Tables_number 1
loop_
_symmetry_equiv_pos_as_xyz
'x,y,z'
loop_
_atom_site_label
_atom_site_type_symbol
_atom_site_fract_x
_atom_site_fract_y
_atom_site_fract_z
Y1 Y 0.064 0.660 0.854
Y2 Y 0.181 0.274 0.690
Y3 Y 0.274 0.181 0.190
Y4 Y 0.340 0.936 0.646
Y5 Y 0.660 0.064 0.354
Y6 Y 0.726 0.819 0.810
Y7 Y 0.819 0.726 0.310
Y8 Y 0.936 0.340 0.146
Al1 Al 0.381 0.619 0.250
Al2 Al 0.619 0.381 0.750
C1 C 0.072 0.928 0.750
C2 C 0.928 0.072 0.250
```

Properties
E = -79.49 eV/cell
Space-group type = C2/c

A geometry-optimized Y3AlC3 structure, computed with PBE.

Structure (CIF):
```
data_Y3AlC3
_cell_length_a 7.077
_cell_length_b 3.581
_cell_length_c 9.999
_cell_angle_alpha 90.00
_cell_angle_beta 90.00
_cell_angle_gamma 90.00
_symmetry_space_group_name_H-M 'P 1'
_symmetry_Int_Tables_number 1
loop_
_symmetry_equiv_pos_as_xyz
'x,y,z'
loop_
_atom_site_label
_atom_site_type_symbol
_atom_site_fract_x
_atom_site_fract_y
_atom_site_fract_z
Y1 Y 0.009 0.000 0.199
Y2 Y 0.250 0.500 0.457
Y3 Y 0.491 0.000 0.199
Y4 Y 0.509 0.000 0.801
Y5 Y 0.750 0.500 0.543
Y6 Y 0.991 0.000 0.801
Al1 Al 0.250 0.500 0.006
Al2 Al 0.750 0.500 0.994
C1 C 0.008 0.000 0.566
C2 C 0.250 0.500 0.208
C3 C 0.492 0.000 0.566
C4 C 0.508 0.000 0.434
C5 C 0.750 0.500 0.792
C6 C 0.992 0.000 0.434
```

Properties
E = -107.13 eV/cell
Space-group type = Pmma

A geometry-optimized YAlC3 structure, computed with PBE.

Structure (CIF):
```
data_YAlC3
_cell_length_a 4.509
_cell_length_b 4.509
_cell_length_c 4.509
_cell_angle_alpha 90.00
_cell_angle_beta 90.00
_cell_angle_gamma 90.00
_symmetry_space_group_name_H-M 'P 1'
_symmetry_Int_Tables_number 1
loop_
_symmetry_equiv_pos_as_xyz
'x,y,z'
loop_
_atom_site_label
_atom_site_type_symbol
_atom_site_fract_x
_atom_site_fract_y
_atom_site_fract_z
Y1 Y 0.000 0.000 0.000
Al1 Al 0.500 0.500 0.500
C1 C 0.000 0.000 0.500
C2 C 0.000 0.500 0.000
C3 C 0.500 0.000 0.000
```

Properties
E = -24.55 eV/cell
Space-group type = Pm-3m

A geometry-optimized Y2ZrAlC structure, computed with PBE.

Structure (CIF):
```
data_Y2ZrAlC
_cell_length_a 4.849
_cell_length_b 4.849
_cell_length_c 4.603
_cell_angle_alpha 90.00
_cell_angle_beta 90.00
_cell_angle_gamma 90.00
_symmetry_space_group_name_H-M 'P 1'
_symmetry_Int_Tables_number 1
loop_
_symmetry_equiv_pos_as_xyz
'x,y,z'
loop_
_atom_site_label
_atom_site_type_symbol
_atom_site_fract_x
_atom_site_fract_y
_atom_site_fract_z
Y1 Y 0.000 0.500 0.000
Y2 Y 0.500 0.000 0.000
Zr1 Zr 0.000 0.000 0.500
Al1 Al 0.500 0.500 0.500
C1 C 0.000 0.000 0.000
```

Properties
E = -36.53 eV/cell
Space-group type = P4/mmm